# 1
A geometry-optimized HfCu3Mo structure, computed with PBE-GGA.

Geometry as POSCAR:
```
HfCu3Mo
1.0
4.549 0.000 0.000
0.000 4.549 0.000
0.000 0.000 4.549
Hf Cu Mo
1 3 1
Cartesian
0.000 0.000 0.000
0.000 2.274 2.274
2.274 0.000 2.274
2.274 2.274 0.000
2.274 2.274 2.274
```

Calculated values
ΔH_f (0 K) ... 1.2224 eV per atom
Symmetry ... Pm-3m, No. 221
Size of the total moment ... 0.00 Bohr magnetons per cell
Calculated density ... 8.2 Mg/m³
DOS at the Fermi energy ... 4.990 states/eV/cell

# 2
A geometry-optimized HfCuMo structure, computed with PBE-GGA.

Geometry as POSCAR:
```
HfCuMo
1.0
3.263 0.000 0.000
0.000 3.263 0.000
0.000 0.000 9.251
Hf Cu Mo
2 2 2
Cartesian
0.816 0.816 2.168
2.447 2.447 7.082
0.816 0.816 8.632
2.447 2.447 0.619
0.816 0.816 5.375
2.447 2.447 3.875
```

Calculated values
ΔH_f (0 K) ... -0.1683 eV per atom
Symmetry ... P4/nmm, No. 129
Size of the total moment ... 0.00 Bohr magnetons per cell
Calculated density ... 11.4 Mg/m³
DOS at the Fermi energy ... 2.817 states/eV/cell